DFT (GGA-PBE) results for a relaxed structure of LaRe2Hg.

abc: 4.848 4.848 4.848
angles: 60.00 60.00 60.00
Fractional positions:
Re: 0.750 0.750 0.750
Re: 0.000 0.000 0.000
La: 0.250 0.250 0.250
Hg: 0.500 0.500 0.500

As for the density of states at the Fermi level: 2.077 states/eV/f.u. The value obtained for the calculated formation energy is 780 meV/atom. As for the energy above the lowest structure with this stoichiometry: 605.0 meV/atom. The crystal system is cubic. As for the total energy: -27.00 eV/cell.